(1)
Compound: NbV3Ru
Source: the Alexandria database
Functional: PBE
Structure: relaxed

## Properties
ΔH_f (0 K), meV per atom: -86

Structure (CIF):
```
data_NbV3Ru
_cell_length_a 2.756
_cell_length_b 5.012
_cell_length_c 10.790
_cell_angle_alpha 83.36
_cell_angle_beta 85.20
_cell_angle_gamma 79.66
_space_group_name_H-M_alt 'P -1'
_space_group_IT_number 2
loop_
_space_group_symop_operation_xyz
'x,y,z'
'-x,-y,-z'
loop_
_atom_site_label
_atom_site_type_symbol
_atom_site_fract_x
_atom_site_fract_y
_atom_site_fract_z
Nb1 Nb 0.049 0.043 0.300
V1 V 0.146 0.157 0.905
V2 V 0.251 0.264 0.498
V3 V 0.450 0.451 0.702
Ru1 Ru 0.342 0.344 0.100
```



(2)
Compound: LiSb2CI
Source: the Alexandria database
Functional: PBE
Structure: relaxed

## Properties
Raw formation energy, eV per atom: 0.67

Structure (CIF):
```
data_LiSb2CI
_cell_length_a 4.496
_cell_length_b 4.496
_cell_length_c 8.954
_cell_angle_alpha 90.00
_cell_angle_beta 90.00
_cell_angle_gamma 90.00
_space_group_name_H-M_alt 'P 4/m m m'
_space_group_IT_number 123
_space_group_name_Hall '-P 4 2'
loop_
_atom_site_label
_atom_site_type_symbol
_atom_site_fract_x
_atom_site_fract_y
_atom_site_fract_z
Li1 Li 0.000 0.000 0.000
Sb1 Sb 0.000 0.500 0.500
C1 C 0.500 0.500 0.500
I1 I 0.500 0.500 0.000
```



(3)
Compound: Al2OsSe
Source: the Alexandria database
Functional: PBE
Structure: relaxed

## Properties
Raw formation energy, eV per atom: 0.24

Structure (CIF):
```
data_Al2OsSe
_cell_length_a 4.146
_cell_length_b 4.146
_cell_length_c 7.301
_cell_angle_alpha 90.00
_cell_angle_beta 90.00
_cell_angle_gamma 90.00
_space_group_name_H-M_alt 'I -4 m 2'
_space_group_IT_number 119
_space_group_name_Hall 'I -4 -2'
loop_
_atom_site_label
_atom_site_type_symbol
_atom_site_fract_x
_atom_site_fract_y
_atom_site_fract_z
Al1 Al 0.000 0.000 0.000
Al2 Al 0.000 0.500 0.250
Os1 Os 0.000 0.500 0.750
Se1 Se 0.000 0.000 0.500
```



(4)
Compound: Zn4TeBr
Source: the Alexandria database
Functional: PBE
Structure: relaxed

## Properties
Raw formation energy, eV per atom: 0.15

Structure (CIF):
```
data_Zn4TeBr
_cell_length_a 7.889
_cell_length_b 7.889
_cell_length_c 7.889
_cell_angle_alpha 90.00
_cell_angle_beta 90.00
_cell_angle_gamma 90.00
_space_group_name_H-M_alt 'F -4 3 m'
_space_group_IT_number 216
_space_group_name_Hall 'F -4 2 3'
loop_
_atom_site_label
_atom_site_type_symbol
_atom_site_fract_x
_atom_site_fract_y
_atom_site_fract_z
Zn1 Zn 0.125 0.125 0.125
Te1 Te 0.000 0.000 0.500
Br1 Br 0.250 0.250 0.750
```



(5)
Compound: ZnCo3I
Source: the Alexandria database
Functional: PBE
Structure: relaxed

## Properties
Raw formation energy, eV per atom: 1.19

Structure (CIF):
```
data_ZnCo3I
_cell_length_a 4.468
_cell_length_b 4.468
_cell_length_c 4.468
_cell_angle_alpha 90.00
_cell_angle_beta 90.00
_cell_angle_gamma 90.00
_space_group_name_H-M_alt 'P m -3 m'
_space_group_IT_number 221
_space_group_name_Hall '-P 4 2 3'
loop_
_atom_site_label
_atom_site_type_symbol
_atom_site_fract_x
_atom_site_fract_y
_atom_site_fract_z
Zn1 Zn 0.000 0.000 0.000
Co1 Co 0.000 0.000 0.500
I1 I 0.500 0.500 0.500
```



(6)
Compound: MgBPb2S
Source: the Alexandria database
Functional: PBE
Structure: relaxed

## Properties
Raw formation energy, eV per atom: 0.46

Structure (CIF):
```
data_MgBPb2S
_cell_length_a 5.622
_cell_length_b 5.622
_cell_length_c 3.716
_cell_angle_alpha 90.00
_cell_angle_beta 90.00
_cell_angle_gamma 90.00
_space_group_name_H-M_alt 'P 4/m m m'
_space_group_IT_number 123
_space_group_name_Hall '-P 4 2'
loop_
_atom_site_label
_atom_site_type_symbol
_atom_site_fract_x
_atom_site_fract_y
_atom_site_fract_z
Mg1 Mg 0.000 0.000 0.000
B1 B 0.500 0.500 0.500
Pb1 Pb 0.000 0.500 0.500
S1 S 0.500 0.500 0.000
```



(7)
Compound: TaOsW2
Source: the Alexandria database
Functional: PBE
Structure: relaxed

## Properties
ΔH_f (0 K), meV per atom: 110

Structure (CIF):
```
data_TaOsW2
_cell_length_a 2.804
_cell_length_b 2.804
_cell_length_c 8.343
_cell_angle_alpha 90.00
_cell_angle_beta 90.00
_cell_angle_gamma 90.00
_space_group_name_H-M_alt 'P 4 m m'
_space_group_IT_number 99
loop_
_space_group_symop_operation_xyz
'x,y,z'
'-y,x,z'
'-x,-y,z'
'y,-x,z'
'-x,y,z'
'y,x,z'
'x,-y,z'
'-y,-x,z'
loop_
_atom_site_label
_atom_site_type_symbol
_atom_site_fract_x
_atom_site_fract_y
_atom_site_fract_z
Ta1 Ta 0.000 0.000 0.000
Os1 Os 0.500 0.500 0.758
W1 W 0.000 0.000 0.538
W2 W 0.500 0.500 0.275
```



(8)
Compound: Ho3Er2Zn2
Source: the Alexandria database
Functional: PBE
Structure: relaxed

## Properties
ΔH_f (0 K), meV per atom: -157

Structure (CIF):
```
data_Ho3Er2Zn2
_cell_length_a 12.835
_cell_length_b 3.641
_cell_length_c 8.916
_cell_angle_alpha 90.00
_cell_angle_beta 115.75
_cell_angle_gamma 90.00
_space_group_name_H-M_alt 'C 1 2/m 1'
_space_group_IT_number 12
loop_
_space_group_symop_operation_xyz
'x,y,z'
'-x,-y,-z'
'-x,y,-z'
'x,-y,z'
'x+1/2,y+1/2,z'
'-x+1/2,-y+1/2,-z'
'-x+1/2,y+1/2,-z'
'x+1/2,-y+1/2,z'
loop_
_atom_site_label
_atom_site_type_symbol
_atom_site_fract_x
_atom_site_fract_y
_atom_site_fract_z
Ho1 Ho 0.000 0.000 0.000
Ho2 Ho 0.111 0.000 0.442
Er1 Er 0.147 0.500 0.811
Zn1 Zn 0.180 0.500 0.223
```



(9)
Compound: Li6RhF8
Source: the Alexandria database
Functional: PBE
Structure: relaxed

## Properties
Raw formation energy, eV per atom: -2.51

Structure (CIF):
```
data_Li6RhF8
_cell_length_a 8.402
_cell_length_b 8.402
_cell_length_c 8.402
_cell_angle_alpha 90.00
_cell_angle_beta 90.00
_cell_angle_gamma 90.00
_space_group_name_H-M_alt 'F m -3 m'
_space_group_IT_number 225
_space_group_name_Hall '-F 4 2 3'
loop_
_atom_site_label
_atom_site_type_symbol
_atom_site_fract_x
_atom_site_fract_y
_atom_site_fract_z
Li1 Li 0.000 0.250 0.250
Rh1 Rh 0.000 0.000 0.000
F1 F 0.000 0.000 0.253
F2 F 0.250 0.250 0.250
```



(10)
Compound: Tm8TeSe6
Source: the Alexandria database
Functional: PBE
Structure: relaxed

## Properties
Raw formation energy, eV per atom: -1.27

Structure (CIF):
```
data_Tm8TeSe6
_cell_length_a 10.3999
_cell_length_b 10.3999
_cell_length_c 3.9998
_cell_angle_alpha 90.00
_cell_angle_beta 90.00
_cell_angle_gamma 120.00
_space_group_name_H-M_alt 'P -3'
_space_group_IT_number 147
loop_
_space_group_symop_operation_xyz
'x,y,z'
'-x,-y,-z'
'-y,x-y,z'
'y,-x+y,-z'
'-x+y,-x,z'
'x-y,x,-z'
loop_
_atom_site_label
_atom_site_type_symbol
_atom_site_fract_x
_atom_site_fract_y
_atom_site_fract_z
Tm1 Tm 0.0375 0.3239 0.2571
Tm2 Tm 0.3333 0.6667 0.7479
Te1 Te 0.0000 0.0000 0.5000
Se1 Se 0.1307 0.6475 0.2477
```



(11)
Compound: Dy5ErAg6
Source: the Alexandria database
Functional: PBE
Structure: relaxed

## Properties
ΔH_f (0 K), meV per atom: -326

Structure (CIF):
```
data_Dy5ErAg6
_cell_length_a 5.157
_cell_length_b 15.474
_cell_length_c 7.198
_cell_angle_alpha 90.00
_cell_angle_beta 90.00
_cell_angle_gamma 90.00
_space_group_name_H-M_alt 'C m m m'
_space_group_IT_number 65
_space_group_name_Hall '-C 2 2'
loop_
_atom_site_label
_atom_site_type_symbol
_atom_site_fract_x
_atom_site_fract_y
_atom_site_fract_z
Dy1 Dy 0.000 0.000 0.000
Dy2 Dy 0.000 0.333 0.000
Dy3 Dy 0.000 0.334 0.500
Er1 Er 0.000 0.000 0.500
Ag1 Ag 0.000 0.166 0.251
Ag2 Ag 0.000 0.500 0.252
```



(12)
Compound: Pm2GaCo2Ni5
Source: the Alexandria database
Functional: PBE
Structure: relaxed

## Properties
ΔH_f (0 K), meV per atom: -150

Structure (CIF):
```
data_Pm2GaCo2Ni5
_cell_length_a 8.878
_cell_length_b 8.878
_cell_length_c 3.775
_cell_angle_alpha 90.00
_cell_angle_beta 90.00
_cell_angle_gamma 90.00
_space_group_name_H-M_alt 'P 4/m b m'
_space_group_IT_number 127
_space_group_name_Hall '-P 4 2ab'
loop_
_atom_site_label
_atom_site_type_symbol
_atom_site_fract_x
_atom_site_fract_y
_atom_site_fract_z
Pm1 Pm 0.182 0.318 0.000
Ga1 Ga 0.000 0.000 0.000
Co1 Co 0.115 0.615 0.000
Ni1 Ni 0.000 0.500 0.500
Ni2 Ni 0.059 0.793 0.500
```



(13)
Compound: Mg5H2Ir
Source: the Alexandria database
Functional: PBE
Structure: relaxed

## Properties
Final energy, eV per atom: -3.10

Structure (CIF):
```
data_Mg5H2Ir
_cell_length_a 4.587
_cell_length_b 5.339
_cell_length_c 5.560
_cell_angle_alpha 90.12
_cell_angle_beta 90.03
_cell_angle_gamma 115.40
_space_group_name_H-M_alt 'P 1'
_space_group_IT_number 1
loop_
_space_group_symop_operation_xyz
'x,y,z'
loop_
_atom_site_label
_atom_site_type_symbol
_atom_site_fract_x
_atom_site_fract_y
_atom_site_fract_z
Mg1 Mg 0.000 0.000 0.000
Mg2 Mg 0.039 0.079 0.480
Mg3 Mg 0.292 0.580 0.187
Mg4 Mg 0.419 0.838 0.686
Mg5 Mg 0.710 0.422 0.724
H1 H 0.223 0.448 0.782
H2 H 0.747 0.490 0.144
Ir1 Ir 0.579 0.159 0.238
```



(14)
Compound: Zr5Sb3C
Source: the Alexandria database
Functional: PBE
Structure: relaxed

## Properties
Raw formation energy, eV per atom: -0.77

Structure (CIF):
```
data_Zr5Sb3C
_cell_length_a 8.4439
_cell_length_b 8.4439
_cell_length_c 5.8819
_cell_angle_alpha 90.00
_cell_angle_beta 90.00
_cell_angle_gamma 120.00
_space_group_name_H-M_alt 'P 63/m c m'
_space_group_IT_number 193
_space_group_name_Hall '-P 6c 2'
loop_
_atom_site_label
_atom_site_type_symbol
_atom_site_fract_x
_atom_site_fract_y
_atom_site_fract_z
Zr1 Zr 0.0000 0.2199 0.2500
Zr2 Zr 0.3333 0.6667 0.0000
Sb1 Sb 0.0000 0.4044 0.7500
C1 C 0.0000 0.0000 0.0000
```



(15)
Compound: Ac2UAs3
Source: the Alexandria database
Functional: PBE
Structure: relaxed

## Properties
ΔH_f (0 K), meV per atom: -1170

Structure (CIF):
```
data_Ac2UAs3
_cell_length_a 7.582
_cell_length_b 13.136
_cell_length_c 7.647
_cell_angle_alpha 90.00
_cell_angle_beta 109.38
_cell_angle_gamma 90.00
_space_group_name_H-M_alt 'C 1 2/m 1'
_space_group_IT_number 12
loop_
_space_group_symop_operation_xyz
'x,y,z'
'-x,-y,-z'
'-x,y,-z'
'x,-y,z'
'x+1/2,y+1/2,z'
'-x+1/2,-y+1/2,-z'
'-x+1/2,y+1/2,-z'
'x+1/2,-y+1/2,z'
loop_
_atom_site_label
_atom_site_type_symbol
_atom_site_fract_x
_atom_site_fract_y
_atom_site_fract_z
Ac1 Ac 0.000 0.000 0.000
Ac2 Ac 0.000 0.162 0.500
Ac3 Ac 0.000 0.500 0.500
U1 U 0.000 0.332 0.000
As1 As 0.223 0.500 0.226
As2 As 0.247 0.324 0.770
```



(16)
Compound: CuGe3Pt
Source: the Alexandria database
Functional: PBE
Structure: relaxed

## Properties
ΔH_f (0 K), meV per atom: 543

Structure (CIF):
```
data_CuGe3Pt
_cell_length_a 4.592
_cell_length_b 4.592
_cell_length_c 4.592
_cell_angle_alpha 90.00
_cell_angle_beta 90.00
_cell_angle_gamma 90.00
_space_group_name_H-M_alt 'P m -3 m'
_space_group_IT_number 221
_space_group_name_Hall '-P 4 2 3'
loop_
_atom_site_label
_atom_site_type_symbol
_atom_site_fract_x
_atom_site_fract_y
_atom_site_fract_z
Cu1 Cu 0.000 0.000 0.000
Ge1 Ge 0.000 0.000 0.500
Pt1 Pt 0.500 0.500 0.500
```



(17)
Compound: RbTl15Bi4
Source: the Alexandria database
Functional: PBE
Structure: relaxed

## Properties
ΔH_f (0 K), meV per atom: -40

Structure (CIF):
```
data_RbTl15Bi4
_cell_length_a 5.114
_cell_length_b 5.114
_cell_length_c 24.921
_cell_angle_alpha 90.00
_cell_angle_beta 90.00
_cell_angle_gamma 90.00
_space_group_name_H-M_alt 'P 4/m m m'
_space_group_IT_number 123
_space_group_name_Hall '-P 4 2'
loop_
_atom_site_label
_atom_site_type_symbol
_atom_site_fract_x
_atom_site_fract_y
_atom_site_fract_z
Rb1 Rb 0.000 0.000 0.000
Tl1 Tl 0.000 0.500 0.108
Tl2 Tl 0.000 0.500 0.305
Tl3 Tl 0.000 0.500 0.500
Tl4 Tl 0.500 0.500 0.000
Tl5 Tl 0.500 0.500 0.207
Tl6 Tl 0.500 0.500 0.403
Bi1 Bi 0.000 0.000 0.194
Bi2 Bi 0.000 0.000 0.399
```



(18)
Compound: HPd3Pt
Source: the Alexandria database
Functional: PBE
Structure: relaxed

## Properties
Final energy, eV per atom: -5.02

Structure (CIF):
```
data_HPd3Pt
_cell_length_a 4.914
_cell_length_b 5.668
_cell_length_c 5.690
_cell_angle_alpha 60.31
_cell_angle_beta 89.72
_cell_angle_gamma 73.11
_space_group_name_H-M_alt 'P 1'
_space_group_IT_number 1
loop_
_space_group_symop_operation_xyz
'x,y,z'
loop_
_atom_site_label
_atom_site_type_symbol
_atom_site_fract_x
_atom_site_fract_y
_atom_site_fract_z
H1 H 0.000 0.000 0.000
H2 H 0.166 0.515 0.253
Pd1 Pd 0.382 0.360 0.063
Pd2 Pd 0.391 0.860 0.068
Pd3 Pd 0.871 0.379 0.808
Pd4 Pd 0.875 0.862 0.809
Pd5 Pd 0.877 0.861 0.327
Pd6 Pd 0.878 0.356 0.320
Pt1 Pt 0.380 0.862 0.567
Pt2 Pt 0.385 0.359 0.574
```



(19)
Compound: ScNiW
Source: the Alexandria database
Functional: PBE
Structure: relaxed

## Properties
ΔH_f (0 K), meV per atom: -6

Structure (CIF):
```
data_ScNiW
_cell_length_a 2.813
_cell_length_b 2.813
_cell_length_c 11.947
_cell_angle_alpha 90.00
_cell_angle_beta 90.00
_cell_angle_gamma 90.00
_space_group_name_H-M_alt 'I 4 m m'
_space_group_IT_number 107
_space_group_name_Hall 'I 4 -2'
loop_
_atom_site_label
_atom_site_type_symbol
_atom_site_fract_x
_atom_site_fract_y
_atom_site_fract_z
Sc1 Sc 0.000 0.000 0.000
Ni1 Ni 0.000 0.000 0.334
W1 W 0.000 0.000 0.691
```



(20)
Compound: HgRh2Pb2
Source: the Alexandria database
Functional: PBE
Structure: relaxed

## Properties
ΔH_f (0 K), meV per atom: 292

Structure (CIF):
```
data_HgRh2Pb2
_cell_length_a 4.558
_cell_length_b 4.558
_cell_length_c 11.347
_cell_angle_alpha 90.00
_cell_angle_beta 90.00
_cell_angle_gamma 90.00
_space_group_name_H-M_alt 'I 4/m m m'
_space_group_IT_number 139
_space_group_name_Hall '-I 4 2'
loop_
_atom_site_label
_atom_site_type_symbol
_atom_site_fract_x
_atom_site_fract_y
_atom_site_fract_z
Hg1 Hg 0.000 0.000 0.000
Rh1 Rh 0.000 0.000 0.390
Pb1 Pb 0.000 0.500 0.250
```



(21)
Compound: KIrC3
Source: the Alexandria database
Functional: PBE
Structure: relaxed

## Properties
ΔH_f (0 K), meV per atom: 1878

Structure (CIF):
```
data_KIrC3
_cell_length_a 4.075
_cell_length_b 4.075
_cell_length_c 4.075
_cell_angle_alpha 90.00
_cell_angle_beta 90.00
_cell_angle_gamma 90.00
_space_group_name_H-M_alt 'P m -3 m'
_space_group_IT_number 221
_space_group_name_Hall '-P 4 2 3'
loop_
_atom_site_label
_atom_site_type_symbol
_atom_site_fract_x
_atom_site_fract_y
_atom_site_fract_z
K1 K 0.000 0.000 0.000
Ir1 Ir 0.500 0.500 0.500
C1 C 0.000 0.500 0.500
```



(22)
Compound: Pm11Ho4Tm9
Source: the Alexandria database
Functional: PBE
Structure: relaxed

## Properties
ΔH_f (0 K), meV per atom: 55

Structure (CIF):
```
data_Pm11Ho4Tm9
_cell_length_a 16.810
_cell_length_b 25.479
_cell_length_c 3.637
_cell_angle_alpha 90.00
_cell_angle_beta 90.00
_cell_angle_gamma 90.00
_space_group_name_H-M_alt 'C m m m'
_space_group_IT_number 65
_space_group_name_Hall '-C 2 2'
loop_
_atom_site_label
_atom_site_type_symbol
_atom_site_fract_x
_atom_site_fract_y
_atom_site_fract_z
Pm1 Pm 0.000 0.000 0.000
Pm2 Pm 0.000 0.160 0.000
Pm3 Pm 0.000 0.368 0.000
Pm4 Pm 0.208 0.500 0.000
Pm5 Pm 0.224 0.181 0.000
Ho1 Ho 0.157 0.398 0.500
Tm1 Tm 0.000 0.500 0.500
Tm2 Tm 0.102 0.267 0.500
Tm3 Tm 0.141 0.073 0.500
```



Number 1: D(E_F) 0.98 states/eV/atom. Number 2: D(E_F) 0.41 states/eV/atom. Number 3: D(E_F) 0.44 states/eV/atom. Number 4: D(E_F) 0.42 states/eV/atom. Number 5: D(E_F) 2.51 states/eV/atom. Number 6: D(E_F) 0.46 states/eV/atom. Number 7: D(E_F) 0.95 states/eV/atom. Number 8: D(E_F) 1.25 states/eV/atom. Number 9: D(E_F) 0.34 states/eV/atom. Number 10: D(E_F) 0.66 states/eV/atom. Number 11: D(E_F) 0.48 states/eV/atom. Number 12: D(E_F) 1.23 states/eV/atom. Number 13: D(E_F) 0.25 states/eV/atom. Number 14: D(E_F) 0.60 states/eV/atom. Number 15: D(E_F) 1.47 states/eV/atom. Number 16: D(E_F) 0.54 states/eV/atom. Number 17: D(E_F) 0.38 states/eV/atom. Number 18: D(E_F) 1.41 states/eV/atom. Number 19: D(E_F) 0.51 states/eV/atom. Number 20: D(E_F) 0.65 states/eV/atom. Number 21: D(E_F) 0.85 states/eV/atom. Number 22: D(E_F) 1.25 states/eV/atom.